No. 1
Computed, not measured: a geometry-optimized RbBa structure at the PBE level of DFT.

Cell: 10.3727 10.3727 10.3727 Å, 90.00 90.00 90.00°
Fractional coordinates of all 8 atoms:
Rb 0.0000 0.0000 0.0000
Rb 0.0000 0.5000 0.5000
Rb 0.5000 0.0000 0.5000
Rb 0.5000 0.5000 0.0000
Ba 0.2500 0.2500 0.7500
Ba 0.2500 0.7500 0.2500
Ba 0.7500 0.2500 0.2500
Ba 0.7500 0.7500 0.7500

Computed properties:
E_tot = -0.6413 eV/atom
Mass density = 1.33 g/cm³
ΔE_f = 803.9 meV/atom
Symmetry = F-43m

***

No. 2
Computed, not measured: a geometry-optimized BeRe3Sb structure at the PBE level of DFT.

Cell: 4.2429 4.2429 4.2429 Å, 90.00 90.00 90.00°
Fractional coordinates of all 5 atoms:
Be 0.0000 0.0000 0.0000
Re 0.0000 0.0000 0.5000
Re 0.0000 0.5000 0.0000
Re 0.5000 0.0000 0.0000
Sb 0.5000 0.5000 0.5000

Computed properties:
Distance to the lowest polymorph of the same formula = 0.0000 eV per atom
E_tot = -8.0932 eV/atom
Mass density = 14.99 g/cm³
Uncorrected formation energy = 91.2 kJ/mol of atoms
Symmetry = Pm-3m

***

No. 3
Computed, not measured: a geometry-optimized CdCuN2 structure at the PBE level of DFT.

Cell: 4.8383 4.8383 9.2477 Å, 90.00 90.00 90.00°
Fractional coordinates of all 16 atoms:
Cd 0.0000 0.0000 0.0000
Cd 0.0000 0.5000 0.2500
Cd 0.5000 0.0000 0.7500
Cd 0.5000 0.5000 0.5000
Cu 0.0000 0.0000 0.5000
Cu 0.0000 0.5000 0.7500
Cu 0.5000 0.0000 0.2500
Cu 0.5000 0.5000 0.0000
N 0.1840 0.2500 0.6250
N 0.2500 0.6840 0.8750
N 0.2500 0.8160 0.3750
N 0.3160 0.2500 0.1250
N 0.6840 0.7500 0.1250
N 0.7500 0.1840 0.3750
N 0.7500 0.3160 0.8750
N 0.8160 0.7500 0.6250

Computed properties:
E_tot = -4.3967 eV/atom
Mass density = 6.26 g/cm³
Uncorrected formation energy = 98.3 kJ/mol of atoms
Symmetry = I-42d

***

No. 4
Computed, not measured: a geometry-optimized TlPd2Cl8 structure at the PBE level of DFT.

Cell: 7.5773 7.5773 7.0916 Å, 111.32 111.32 84.41°
Fractional coordinates of all 11 atoms:
Tl 0.0000 0.0000 0.0000
Pd 0.1493 0.1493 0.6291
Pd 0.8507 0.8507 0.3709
Cl 0.0761 0.7452 0.1931
Cl 0.2338 0.2338 0.3768
Cl 0.2548 0.9239 0.8069
Cl 0.3796 0.3796 0.9224
Cl 0.6204 0.6204 0.0775
Cl 0.7452 0.0761 0.1931
Cl 0.7662 0.7662 0.6232
Cl 0.9239 0.2548 0.8069

Computed properties:
E_tot = -2.8063 eV/atom
Mass density = 3.30 g/cm³
Uncorrected formation energy = -29.3 kJ/mol of atoms
Symmetry = C2/m

***

No. 5
Computed, not measured: a geometry-optimized TbHo3Ga4 structure at the PBE level of DFT.

Cell: 3.5574 6.7436 16.5455 Å, 90.00 90.00 90.00°
Fractional coordinates of all 16 atoms:
Tb 0.0000 0.0000 0.0000
Tb 0.5000 0.5000 0.5000
Ho 0.0000 0.0000 0.5000
Ho 0.0000 0.5000 0.2976
Ho 0.0000 0.5000 0.7024
Ho 0.5000 0.0000 0.2024
Ho 0.5000 0.0000 0.7976
Ho 0.5000 0.5000 0.0000
Ga 0.0000 0.3078 0.1301
Ga 0.0000 0.3078 0.8699
Ga 0.0000 0.6922 0.1301
Ga 0.0000 0.6922 0.8699
Ga 0.5000 0.1922 0.3699
Ga 0.5000 0.1922 0.6301
Ga 0.5000 0.8078 0.3699
Ga 0.5000 0.8078 0.6301

Computed properties:
Distance to the lowest polymorph of the same formula = 0.1214 eV per atom
E_tot = -4.2691 eV/atom
Mass density = 7.80 g/cm³
ΔE_f = -460.2 meV/atom
Symmetry = Immm

***

No. 6
Computed, not measured: a geometry-optimized SrMoIr3 structure at the PBE level of DFT.

Cell: 4.8167 4.8167 4.8167 Å, 90.00 90.00 90.00°
Fractional coordinates of all 5 atoms:
Sr 0.0000 0.0000 0.0000
Mo 0.5000 0.5000 0.5000
Ir 0.0000 0.5000 0.5000
Ir 0.5000 0.0000 0.5000
Ir 0.5000 0.5000 0.0000

Computed properties:
Distance to the lowest polymorph of the same formula = 0.0000 eV per atom
E_tot = -7.1135 eV/atom
Mass density = 11.30 g/cm³
ΔE_f = 705.7 meV/atom
Symmetry = Pm-3m

***

Question: Among the records above, which one has the highest mass density?
Answer: BeRe3Sb